Entry 1:
Compound: Si2OsRh
Source: Alexandria
Functional: PBE
Structure: relaxed

Lattice parameters (Å, degrees): 5.4230 5.4230 5.4230 39.91 39.91 39.91
Last column: nearest neighbours and their distance in Å.
Atoms (fractional coordinates):
Si 0.0000 0.0000 0.0000  1 Si 2.45, 3 Os 2.51, 3 Rh 2.58
Si 0.1638 0.1638 0.1638  3 Rh 2.40, 3 Os 2.42, 1 Si 2.45
Os 0.7545 0.7545 0.7545  6 Si 2.42-2.51
Rh 0.5696 0.5696 0.5696  6 Si 2.40-2.58

Summary:
Total magnetization: 0.00 μB/atom
ΔE_f (raw): -0.3659 eV/atom
Density of states at the Fermi level: 0.29 states/eV/atom
Total energy: -7.7227 eV/atom
SG: R3m

Entry 2:
Compound: SiOsRh2
Source: Alexandria
Functional: PBE
Structure: relaxed

Lattice parameters (Å, degrees): 4.5519 4.5519 4.5519 129.37 129.37 74.41
Last column: nearest neighbours and their distance in Å.
Atoms (fractional coordinates):
Si 0.0000 0.0000 0.0000  4 Os 2.66, 8 Rh 2.66-2.75
Os 0.2500 0.7500 0.5000  8 Rh 2.66-2.75, 4 Si 2.66
Rh 0.5000 0.5000 0.0000  4 Os 2.66, 4 Rh 2.66, 4 Si 2.75
Rh 0.7500 0.2500 0.5000  4 Rh 2.66, 4 Si 2.66, 4 Os 2.75

Summary:
Total magnetization: 0.00 μB/atom
ΔE_f (raw): -0.1496 eV/atom
Density of states at the Fermi level: 0.69 states/eV/atom
Total energy: -7.9885 eV/atom
SG: I-4m2

Entry 3:
Compound: Si2Os2Rh
Source: Alexandria
Functional: PBE
Structure: relaxed

Lattice parameters (Å, degrees): 6.9914 6.9914 2.7990 90.00 90.00 90.00
Last column: nearest neighbours and their distance in Å.
Atoms (fractional coordinates):
Si 0.1483 0.3517 0.0000  6 Os 2.43-2.52, 2 Rh 2.67
Si 0.3517 0.8517 0.0000  6 Os 2.43-2.52, 2 Rh 2.67
Si 0.6483 0.1483 0.0000  6 Os 2.43-2.52, 2 Rh 2.67
Si 0.8517 0.6483 0.0000  6 Os 2.43-2.52, 2 Rh 2.67
Os 0.1509 0.6509 0.5000  6 Si 2.43-2.52
Os 0.3491 0.1509 0.5000  6 Si 2.43-2.52
Os 0.6509 0.8491 0.5000  6 Si 2.43-2.52
Os 0.8491 0.3491 0.5000  6 Si 2.43-2.52
Rh 0.0000 0.0000 0.0000  4 Si 2.67, 2 Rh 2.80
Rh 0.5000 0.5000 0.0000  4 Si 2.67, 2 Rh 2.80

Summary:
Total magnetization: 0.00 μB/atom
ΔE_f (raw): -0.1861 eV/atom
Density of states at the Fermi level: 0.86 states/eV/atom
Total energy: -8.3175 eV/atom
SG: P4/mbm

Entry 4:
Compound: SiOs2Rh
Source: Alexandria
Functional: PBE
Structure: relaxed

Lattice parameters (Å, degrees): 8.4856 8.4856 8.4856 18.78 18.78 18.78
Last column: nearest neighbours and their distance in Å.
Atoms (fractional coordinates):
Si 0.0000 0.0000 0.0000  3 Rh 2.47, 3 Os 2.55
Os 0.4997 0.4997 0.4997  9 Os 2.70-2.77, 3 Rh 2.80
Os 0.7463 0.7463 0.7463  3 Si 2.55, 9 Os 2.70-2.77
Rh 0.2582 0.2582 0.2582  3 Si 2.47

Summary:
Total magnetization: 0.00 μB/atom
ΔE_f (raw): -0.1060 eV/atom
Density of states at the Fermi level: 0.82 states/eV/atom
Total energy: -8.9145 eV/atom
SG: R3m

Entry 5:
Compound: Si2OsRh
Source: Alexandria
Functional: PBE
Structure: relaxed

Lattice parameters (Å, degrees): 2.7605 2.7605 7.4200 90.00 90.00 90.00
Last column: nearest neighbours and their distance in Å.
Atoms (fractional coordinates):
Si 0.0000 0.0000 0.0000  4 Rh 2.53, 4 Si 2.76
Si 0.5000 0.5000 0.2956  4 Os 2.53, 4 Si 2.76
Os 0.0000 0.0000 0.5121  4 Si 2.53, 4 Os 2.76, 4 Rh 2.80
Rh 0.5000 0.5000 0.7822  4 Si 2.53, 4 Rh 2.76, 4 Os 2.80

Summary:
Total magnetization: 0.00 μB/atom
ΔE_f (raw): 0.0226 eV/atom
Density of states at the Fermi level: 0.63 states/eV/atom
Total energy: -7.3342 eV/atom
SG: P4mm

Entry 6:
Compound: SiOsRh2
Source: Alexandria
Functional: PBE
Structure: relaxed

Lattice parameters (Å, degrees): 9.0112 9.0112 9.0112 155.95 155.95 34.27
Last column: nearest neighbours and their distance in Å.
Atoms (fractional coordinates):
Si 0.0000 0.0000 0.0000  4 Rh 2.52, 4 Os 2.65
Si 0.7500 0.2500 0.5000  4 Rh 2.52, 4 Os 2.65
Os 0.2500 0.7500 0.5000  4 Rh 2.54, 4 Si 2.65
Os 0.5000 0.5000 0.0000  4 Rh 2.54, 4 Si 2.65
Rh 0.1183 0.6250 0.9933  2 Si 2.52, 2 Os 2.54, 4 Rh 2.62-2.69
Rh 0.3750 0.3683 0.4933  2 Si 2.52, 2 Os 2.54, 4 Rh 2.62-2.69
Rh 0.6317 0.1250 0.0067  2 Si 2.52, 2 Os 2.54, 4 Rh 2.62-2.69
Rh 0.8750 0.8817 0.5067  2 Si 2.52, 2 Os 2.54, 4 Rh 2.62-2.69

Summary:
Total magnetization: 0.00 μB/atom
ΔE_f (raw): 0.3061 eV/atom
Density of states at the Fermi level: 1.03 states/eV/atom
Total energy: -7.5328 eV/atom
SG: I-42d